This record from the Alexandria database describes crystalline PuScAgS4 at its relaxed geometry. The functional is PBE.

a b c (Å): 7.7410 7.7410 7.7410
angles (deg): 121.43 117.38 91.07
Fractional positions:
1 Pu 0.0000 0.0000 0.0000
2 Pu 0.5000 0.0000 0.5000
3 Sc 0.5000 0.0000 0.0000
4 Sc 0.5000 0.5000 0.5000
5 Ag 0.1089 0.3589 0.7500
6 Ag 0.8911 0.6411 0.2500
7 S 0.2610 0.2469 0.4859
8 S 0.2610 0.7751 0.0141
9 S 0.2753 0.2461 0.0291
10 S 0.2830 0.7539 0.5291
11 S 0.7170 0.2461 0.4709
12 S 0.7247 0.7539 0.9709
13 S 0.7390 0.2249 0.9859
14 S 0.7390 0.7531 0.5141

## Properties
Formation energy from raw total energies = -1.30 eV per atom
Total magnetic moment = 8.000 μB per cell

=====

This record from the Alexandria database describes crystalline TbHoBr at its relaxed geometry. The functional is PBE.

a b c (Å): 10.1210 5.9807 5.7188
angles (deg): 90.00 90.00 90.00
Fractional positions:
1 Tb 0.2247 0.0157 0.2500
2 Tb 0.2247 0.4843 0.7500
3 Tb 0.7753 0.5157 0.2500
4 Tb 0.7753 0.9843 0.7500
5 Ho 0.4288 0.5717 0.2500
6 Ho 0.4288 0.9283 0.7500
7 Ho 0.5712 0.0717 0.2500
8 Ho 0.5712 0.4283 0.7500
9 Br 0.1144 0.0001 0.7500
10 Br 0.1144 0.4999 0.2500
11 Br 0.8856 0.9999 0.2500
12 Br 0.8856 0.5001 0.7500

## Properties
Energy relative to the lowest polymorph listed for this composition = 28 meV/atom
Formation energy from raw total energies = -0.70 eV per atom
Total magnetic moment = 0.000 μB per cell